Record 1
A plane-wave DFT calculation with GGA-PBE was carried out for crystalline Ba2BeSnOs at its relaxed geometry.

Geometry as POSCAR:
```
Ba2BeSnOs
1.0
6.125 0.000 0.000
0.000 6.125 0.000
0.000 0.000 4.367
Be Ba Os Sn
1 2 1 1
direct
0.000 0.000 0.000
0.000 0.500 0.000
0.500 0.000 0.000
0.500 0.500 0.500
0.000 0.000 0.500
```

## Properties
Crystal system = tetragonal
Formation enthalpy at 0 K = 833 meV per atom
Calculated volume = 32.77 A^3/atom
Space group = No. 123
M_tot = 2.02 μB per cell



Record 2
A plane-wave DFT calculation with GGA-PBE was carried out for crystalline BaTiBeOs2 at its relaxed geometry.

Geometry as POSCAR:
```
BaTiBeOs2
1.0
-0.893 2.642 -3.793
3.066 -2.798 -2.671
-3.580 -2.840 -1.135
Os Ba Ti Be
2 1 1 1
direct
0.000 0.000 0.500
0.500 0.000 0.000
0.500 0.500 0.500
0.000 0.000 0.000
0.000 0.500 0.000
```

## Properties
Crystal system = tetragonal
Formation enthalpy at 0 K = 1087 meV per atom
Calculated volume = 21.89 A^3/atom
Space group = No. 123
M_tot = 0.00 μB per cell



Record 3
A plane-wave DFT calculation with GGA-PBE was carried out for crystalline BaBeP at its relaxed geometry.

Geometry as POSCAR:
```
BaBeP
1.0
6.140 0.009 -0.010
5.195 3.269 0.001
0.945 0.255 3.250
Be P Ba
1 1 1
direct
0.273 0.273 0.727
0.726 0.726 0.274
0.001 0.001 0.999
```

## Properties
Crystal system = orthorhombic
Formation enthalpy at 0 K = 71 meV per atom
Energy above the most stable polymorph in this dataset = 685.6 meV per atom
Calculated volume = 21.70 A^3/atom
Space group = No. 42
M_tot = 0.01 μB per cell



Record 4
A plane-wave DFT calculation with GGA-PBE was carried out for crystalline BaBe3P at its relaxed geometry.

Geometry as POSCAR:
```
BaBe3P
1.0
4.498 0.000 0.000
0.000 4.498 0.000
0.000 0.000 4.498
Be Ba P
3 1 1
direct
0.000 0.000 0.500
0.500 0.000 0.000
0.000 0.500 0.000
0.500 0.500 0.500
0.000 0.000 0.000
```

## Properties
Crystal system = cubic
Formation enthalpy at 0 K = 665 meV per atom
Energy above the most stable polymorph in this dataset = 0.0 meV per atom
Calculated volume = 18.21 A^3/atom
Space group = No. 221
M_tot = 0.00 μB per cell



Record 5
A plane-wave DFT calculation with GGA-PBE was carried out for crystalline Ba3BeP3 at its relaxed geometry.

Geometry as POSCAR:
```
Ba3BeP3
1.0
-1.265 -4.223 4.928
7.226 -3.904 -5.927
9.085 5.770 7.276
P Ba Be
12 12 4
direct
0.973 0.309 0.892
0.835 0.309 0.392
0.473 0.309 0.608
0.027 0.691 0.108
0.527 0.691 0.392
0.312 0.000 0.409
0.688 0.000 0.591
0.335 0.309 0.108
0.188 0.000 0.909
0.812 0.000 0.091
0.165 0.691 0.608
0.665 0.691 0.892
0.816 0.000 0.352
0.129 0.658 0.871
0.684 0.000 0.852
0.316 0.000 0.148
0.529 0.658 0.129
0.471 0.342 0.871
0.029 0.658 0.371
0.371 0.342 0.371
0.871 0.342 0.129
0.184 0.000 0.648
0.629 0.658 0.629
0.971 0.342 0.629
0.422 0.844 0.500
0.578 0.156 0.500
0.078 0.156 0.000
0.922 0.844 0.000
```

## Properties
Crystal system = orthorhombic
Formation enthalpy at 0 K = -825 meV per atom
Calculated volume = 29.37 A^3/atom
Space group = No. 64
M_tot = 0.00 μB per cell



Record 6
A plane-wave DFT calculation with GGA-PBE was carried out for crystalline Ba3BeP at its relaxed geometry.

Geometry as POSCAR:
```
Ba3BeP
1.0
5.849 0.000 0.000
0.000 5.849 0.000
0.000 0.000 5.849
Ba P Be
3 1 1
direct
0.000 0.500 0.000
0.000 0.000 0.500
0.500 0.000 0.000
0.500 0.500 0.500
0.000 0.000 0.000
```

## Properties
Crystal system = cubic
Formation enthalpy at 0 K = 270 meV per atom
Calculated volume = 40.03 A^3/atom
Space group = No. 221
M_tot = 0.00 μB per cell



Record 7
A plane-wave DFT calculation with GGA-PBE was carried out for crystalline BaBeP at its relaxed geometry.

Geometry as POSCAR:
```
BaBeP
1.0
4.629 0.000 0.000
2.315 4.009 0.000
2.315 1.336 3.780
P Be Ba
1 1 1
direct
0.000 0.000 0.000
0.750 0.750 0.750
0.500 0.500 0.500
```

## Properties
Crystal system = cubic
Formation enthalpy at 0 K = 156 meV per atom
Energy above the most stable polymorph in this dataset = 770.7 meV per atom
Calculated volume = 23.39 A^3/atom
Space group = No. 216
M_tot = 0.00 μB per cell



Record 8
A plane-wave DFT calculation with GGA-PBE was carried out for crystalline BaBeP3 at its relaxed geometry.

Geometry as POSCAR:
```
BaBeP3
1.0
-1.562 3.144 3.009
-1.892 -3.370 2.539
3.919 -0.374 2.425
Be P Ba
1 3 1
direct
0.000 0.000 0.000
0.000 0.000 0.500
0.500 0.000 0.000
0.000 0.500 0.000
0.500 0.500 0.500
```

## Properties
Crystal system = cubic
Formation enthalpy at 0 K = 9 meV per atom
Energy above the most stable polymorph in this dataset = 0.0 meV per atom
Calculated volume = 19.77 A^3/atom
Space group = No. 221
M_tot = 0.00 μB per cell



Record 9
A plane-wave DFT calculation with GGA-PBE was carried out for crystalline BaBe4P at its relaxed geometry.

Geometry as POSCAR:
```
BaBe4P
1.0
0.000 3.614 3.614
3.614 0.000 3.614
3.614 3.614 0.000
Be P Ba
4 1 1
direct
0.382 0.853 0.382
0.382 0.382 0.382
0.853 0.382 0.382
0.382 0.382 0.853
0.750 0.750 0.750
0.000 0.000 0.000
```

## Properties
Crystal system = cubic
Formation enthalpy at 0 K = 766 meV per atom
Calculated volume = 15.73 A^3/atom
Space group = No. 216
M_tot = 0.00 μB per cell



Record 10
A plane-wave DFT calculation with GGA-PBE was carried out for crystalline BaBe3P at its relaxed geometry.

Geometry as POSCAR:
```
BaBe3P
1.0
5.140 0.000 0.000
0.000 5.140 0.000
0.000 0.000 5.140
P Be Ba
1 3 1
direct
0.500 0.500 0.500
0.000 0.500 0.000
0.000 0.000 0.500
0.500 0.000 0.000
0.000 0.000 0.000
```

## Properties
Crystal system = cubic
Formation enthalpy at 0 K = 2475 meV per atom
Energy above the most stable polymorph in this dataset = 1810.2 meV per atom
Calculated volume = 27.17 A^3/atom
Space group = No. 221
M_tot = 0.00 μB per cell



Record 11
A plane-wave DFT calculation with GGA-PBE was carried out for crystalline BaBe5P4 at its relaxed geometry.

Geometry as POSCAR:
```
BaBe5P4
1.0
-4.597 1.263 4.308
3.709 -3.239 4.907
4.295 8.214 2.175
P Be Ba
8 10 2
direct
0.176 0.237 0.000
0.556 0.500 0.198
0.824 0.737 0.500
0.824 0.263 0.500
0.176 0.763 0.000
0.556 0.500 0.802
0.444 0.000 0.698
0.444 0.000 0.302
0.630 0.259 0.668
0.630 0.259 0.332
0.630 0.741 0.332
0.370 0.759 0.168
0.370 0.241 0.832
0.370 0.759 0.832
0.657 0.000 0.500
0.370 0.241 0.168
0.343 0.500 0.000
0.630 0.741 0.668
0.237 0.500 0.500
0.763 0.000 0.000
```

## Properties
Crystal system = orthorhombic
Formation enthalpy at 0 K = -191 meV per atom
Calculated volume = 21.26 A^3/atom
Space group = No. 59
M_tot = 0.00 μB per cell



Record 12
A plane-wave DFT calculation with GGA-PBE was carried out for crystalline Ba2BeP2 at its relaxed geometry.

Geometry as POSCAR:
```
Ba2BeP2
1.0
3.913 0.000 0.743
1.782 5.935 1.288
-0.104 -0.539 11.225
Be P Ba
2 4 4
direct
0.601 0.097 0.701
0.399 0.903 0.299
0.069 0.233 0.629
0.341 0.165 0.152
0.659 0.835 0.848
0.931 0.767 0.371
0.341 0.694 0.625
0.913 0.257 0.917
0.659 0.306 0.375
0.087 0.743 0.083
```

## Properties
Crystal system = monoclinic
Formation enthalpy at 0 K = -792 meV per atom
Calculated volume = 26.31 A^3/atom
Space group = No. 12
M_tot = 0.00 μB per cell



Record 13
A plane-wave DFT calculation with GGA-PBE was carried out for crystalline BaBeP4 at its relaxed geometry.

Geometry as POSCAR:
```
BaBeP4
1.0
0.000 4.003 4.003
4.003 0.000 4.003
4.003 4.003 0.000
P Be Ba
4 1 1
direct
0.944 0.352 0.352
0.352 0.352 0.352
0.352 0.352 0.944
0.352 0.944 0.352
0.000 0.000 0.000
0.750 0.750 0.750
```

## Properties
Crystal system = cubic
Formation enthalpy at 0 K = 257 meV per atom
Calculated volume = 21.37 A^3/atom
Space group = No. 216
M_tot = 0.00 μB per cell



Record 14
A plane-wave DFT calculation with GGA-PBE was carried out for crystalline Ba4BeP at its relaxed geometry.

Geometry as POSCAR:
```
Ba4BeP
1.0
0.000 4.954 4.954
4.954 0.000 4.954
4.954 4.954 0.000
P Ba Be
1 4 1
direct
0.000 0.000 0.000
0.374 0.878 0.374
0.878 0.374 0.374
0.374 0.374 0.878
0.374 0.374 0.374
0.750 0.750 0.750
```

## Properties
Crystal system = cubic
Formation enthalpy at 0 K = 831 meV per atom
Calculated volume = 40.54 A^3/atom
Space group = No. 216
M_tot = 1.64 μB per cell



Record 15
A plane-wave DFT calculation with GGA-PBE was carried out for crystalline BaBeP3 at its relaxed geometry.

Geometry as POSCAR:
```
BaBeP3
1.0
5.679 0.000 0.000
0.000 5.679 0.000
0.000 0.000 5.679
P Ba Be
3 1 1
direct
0.500 0.000 0.000
0.000 0.500 0.000
0.000 0.000 0.500
0.000 0.000 0.000
0.500 0.500 0.500
```

## Properties
Crystal system = cubic
Formation enthalpy at 0 K = 1990 meV per atom
Energy above the most stable polymorph in this dataset = 1981.2 meV per atom
Calculated volume = 36.63 A^3/atom
Space group = No. 221
M_tot = 0.00 μB per cell



Record 16
A plane-wave DFT calculation with GGA-PBE was carried out for crystalline BaBeP at its relaxed geometry.

Geometry as POSCAR:
```
BaBeP
1.0
-4.927 -0.483 -1.248
-0.631 -1.956 3.246
-0.365 3.824 -0.040
P Be Ba
1 1 1
direct
0.167 0.333 0.667
0.167 0.000 0.000
0.667 0.667 0.333
```

## Properties
Crystal system = hexagonal
Formation enthalpy at 0 K = -615 meV per atom
Energy above the most stable polymorph in this dataset = 0.0 meV per atom
Calculated volume = 21.75 A^3/atom
Space group = No. 187
M_tot = 0.23 μB per cell



Record 17
A plane-wave DFT calculation with GGA-PBE was carried out for crystalline BaBe2PPd at its relaxed geometry.

Geometry as POSCAR:
```
BaBe2PPd
1.0
-3.163 3.200 2.665
-3.951 -1.142 -3.318
-1.433 -3.979 3.076
Be P Ba Pd
2 1 1 1
direct
0.500 0.000 0.000
0.000 0.000 0.500
0.500 0.500 0.500
0.000 0.000 0.000
0.000 0.500 0.000
```

## Properties
Crystal system = tetragonal
Formation enthalpy at 0 K = 2116 meV per atom
Calculated volume = 28.90 A^3/atom
Space group = No. 123
M_tot = 0.00 μB per cell



Record 18
A plane-wave DFT calculation with GGA-PBE was carried out for crystalline Ba2PmBe2P4 at its relaxed geometry.

Geometry as POSCAR:
```
Ba2PmBe2P4
1.0
-2.852 1.166 -2.580
-3.937 -6.020 1.630
-0.383 5.177 5.892
Ba P Be Pm
2 4 2 1
direct
0.861 0.423 0.722
0.139 0.577 0.278
0.795 0.854 0.590
0.474 0.249 0.948
0.526 0.751 0.052
0.205 0.146 0.410
0.327 0.027 0.654
0.673 0.973 0.346
0.000 0.000 0.000
```

## Properties
Crystal system = monoclinic
Formation enthalpy at 0 K = -846 meV per atom
Calculated volume = 23.34 A^3/atom
Space group = No. 12
M_tot = 0.00 μB per cell



Record 19
A plane-wave DFT calculation with GGA-PBE was carried out for crystalline BaBePPt6 at its relaxed geometry.

Geometry as POSCAR:
```
BaBePPt6
1.0
8.286 0.000 0.000
0.000 7.605 0.000
-4.143 -3.802 5.652
Pt Be P Ba
12 2 2 2
direct
0.163 0.355 0.761
0.402 0.645 0.239
0.402 0.094 0.239
0.602 0.352 0.203
0.598 0.906 0.761
0.160 0.910 0.320
0.163 0.906 0.761
0.837 0.094 0.239
0.840 0.090 0.680
0.837 0.645 0.239
0.398 0.648 0.797
0.598 0.355 0.761
0.500 0.500 0.000
0.500 0.000 0.000
0.500 0.000 0.500
0.000 0.000 0.500
0.125 0.375 0.250
0.875 0.625 0.750
```

## Properties
Crystal system = orthorhombic
Formation enthalpy at 0 K = -409 meV per atom
Calculated volume = 19.78 A^3/atom
Space group = No. 74
M_tot = 0.00 μB per cell



Record 20
A plane-wave DFT calculation with GGA-PBE was carried out for crystalline Ba2BePPt6 at its relaxed geometry.

Geometry as POSCAR:
```
Ba2BePPt6
1.0
6.677 0.021 0.067
-0.023 6.578 -0.003
3.422 3.301 4.719
P Pt Be Ba
1 6 1 2
direct
0.500 0.500 0.000
0.158 0.251 0.498
0.750 0.842 0.906
0.252 0.750 0.092
0.842 0.749 0.502
0.250 0.158 0.094
0.748 0.250 0.908
0.000 0.000 0.000
0.708 0.292 0.417
0.292 0.708 0.583
```

## Properties
Crystal system = monoclinic
Formation enthalpy at 0 K = -696 meV per atom
Calculated volume = 20.58 A^3/atom
Space group = No. 12
M_tot = 0.00 μB per cell